# TlCr2Pb

A relaxed structure of TlCr2Pb (PBE, the Alexandria database).

Cell lengths 3.1717, 3.1717, 8.5444 Å; angles 90.00, 90.00, 90.00 degrees
With the nearest neighbours (Å) after each atom.
Space group P4mm (No. 99)
Unique sites:
Tl1 0.0000 0.0000 0.0000 x1  5 Cr 3.11-3.23, 4 Tl 3.17
Cr1 0.0000 0.0000 0.3780 x1  4 Cr 2.48
Cr2 0.5000 0.5000 0.2528 x1  4 Cr 2.48
Pb1 0.5000 0.5000 0.6302 x1  5 Cr 3.11-3.22, 4 Pb 3.17

Calculated values
energy relative to the lowest polymorph listed for this composition = 0 meV/atom
Fermi-level density of states = 2.12 states/eV/f.u.

***

# LiTcP2

A relaxed structure of LiTcP2 (PBE, the Alexandria database).

Cell lengths 3.0479, 3.0479, 22.2680 Å; angles 90.00, 90.00, 120.00 degrees
With the nearest neighbours (Å) after each atom.
Space group R3m (No. 160, hexagonal axes)
Unique sites:
Li1 0.0000 0.0000 0.0000 x3  6 P 2.61-2.77
Tc1 0.0000 0.0000 0.1615 x3  6 P 2.43-2.44
P1 0.0000 0.0000 0.5707 x3  3 Tc 2.44
P2 0.0000 0.0000 0.7532 x3  3 Tc 2.43, 3 Li 2.61

Calculated values
energy relative to the lowest polymorph listed for this composition = 36 meV/atom
Fermi-level density of states = 1.03 states/eV/f.u.

***

# KTlMo2

A relaxed structure of KTlMo2 (PBE, the Alexandria database).

Cell lengths 4.5913, 4.5913, 21.0866 Å; angles 90.00, 90.00, 90.00 degrees
With the nearest neighbours (Å) after each atom.
Space group I-42d (No. 122)
Unique sites:
K1 0.0000 0.0000 0.0000 x4  4 Tl 3.25, 4 Mo 3.49
Tl1 0.0000 0.0000 0.5000 x4  4 Mo 2.89
Mo1 0.0693 0.2500 0.6250 x8  2 Mo 2.38

Calculated values
energy relative to the lowest polymorph listed for this composition = 791 meV/atom
Fermi-level density of states = 5.90 states/eV/f.u.

***

# YHo2ErTe6

A relaxed structure of YHo2ErTe6 (PBE, the Alexandria database).

Cell lengths 7.6640, 7.6640, 21.0035 Å; angles 90.00, 90.00, 120.00 degrees
With the nearest neighbours (Å) after each atom.
Space group R3 (No. 146, hexagonal axes)
Unique sites:
Y1 0.0000 0.0000 0.0000 x3  6 Te 3.07-3.11
Ho1 0.0000 0.0000 0.1853 x3  6 Te 3.05-3.10
Ho2 0.0000 0.0000 0.6857 x3  6 Te 3.06-3.09
Er1 0.0000 0.0000 0.5005 x3  6 Te 3.05-3.08
Te1 0.0008 0.3159 0.0932 x9  1 Er 3.05, 2 Ho 3.06-3.10, 1 Y 3.11
Te2 0.0210 0.6683 0.2594 x9  2 Ho 3.05-3.09, 1 Y 3.07, 1 Er 3.08

Calculated values
formation energy (no corrections) = -1.359 eV per atom

***

# La2TbPrDy4

A relaxed structure of La2TbPrDy4 (PBE, the Alexandria database).

Cell lengths 6.2800, 3.6389, 11.6403 Å; angles 90.00, 90.02, 90.00 degrees
With the nearest neighbours (Å) after each atom.
Space group P2/m (No. 10)
Unique sites:
La1 0.0000 0.0000 0.0000 x1  6 Dy 3.60, 4 Pr 3.63, 2 La 3.64
La2 0.5000 0.5000 0.5000 x1  6 Dy 3.57-3.58, 4 Tb 3.63, 2 La 3.64
Tb1 0.0000 0.0000 0.5000 x1  6 Dy 3.57-3.58, 4 La 3.63, 2 Tb 3.64
Pr1 0.5000 0.5000 0.0000 x1  6 Dy 3.60-3.61, 4 La 3.63, 2 Pr 3.64
Dy1 0.1648 0.5000 0.2516 x2  2 Tb 3.57, 3 La 3.58-3.60, 1 Pr 3.61, 6 Dy 3.63-3.64
Dy2 0.3351 0.0000 0.7487 x2  3 La 3.57-3.60, 1 Tb 3.58, 2 Pr 3.60, 6 Dy 3.63-3.64

Calculated values
E = -4.7088 eV/atom
Fermi-level density of states = 10.32 states/eV/f.u.

***

# Ac3Tb2Sm7

A relaxed structure of Ac3Tb2Sm7 (PBE, the Alexandria database).

Cell lengths 3.7837, 5.8234, 20.8845 Å; angles 90.00, 95.21, 90.00 degrees
With the nearest neighbours (Å) after each atom.
Space group P2/m (No. 10)
Unique sites:
Ac1 0.0000 0.0000 0.0000 x1  8 Sm 3.47-3.50, 2 Ac 3.78
Ac2 0.3251 0.5000 0.6503 x2  4 Tb 3.78, 2 Ac 3.78, 6 Sm 3.89-4.15
Tb1 0.1393 0.0000 0.2779 x2  3 Sm 3.26-3.41
Sm1 0.0862 0.5000 0.1721 x2  6 Sm 3.53-3.78, 2 Tb 3.65
Sm2 0.2173 0.0000 0.4345 x2  1 Tb 3.26, 2 Sm 3.32
Sm3 0.4291 0.0000 0.8584 x2  2 Tb 3.41, 2 Ac 3.50, 6 Sm 3.53-3.78
Sm4 0.5000 0.5000 0.0000 x1  4 Ac 3.47, 2 Sm 3.78

Calculated values
E = -4.3246 eV/atom
Fermi-level density of states = 18.15 states/eV/f.u.

***

no.,calculated volume (A^3/atom),total magnetic moment (Bohr magnetons per cell)
1,21.49,0.15
2,14.93,0.00
3,27.78,0.00
4,35.61,0.00
5,33.25,0.00
6,38.19,0.00